[1]
A relaxed structure of CdInTe2. Source: Alexandria via LeMat-Bulk, functional PBE.

a = 4.3761 Å, b = 4.3761 Å, c = 6.1878 Å
α = 90.00°, β = 90.00°, γ = 90.00°
With the nearest neighbours (Å) after each atom.
Positions (direct):
Cd (0.0000, 0.0000, 0.0000)  6 Te 3.09-3.10
In (0.5000, 0.5000, 0.4985)  6 Te 3.09-3.10
Te (0.0000, 0.0000, 0.4998)  2 Cd 3.09-3.10, 4 In 3.09
Te (0.5000, 0.5000, 0.9992)  2 In 3.09-3.10, 4 Cd 3.09

Magnetization: 0.00 μB/atom
DOS(E_F): 0.9 states/eV/f.u.
VASP energy: -2.79 eV per atom
Space-group type: P4mm (99)

---

[2]
A relaxed structure of Th2SnPb. Source: Alexandria via LeMat-Bulk, functional PBE.

a = 5.5269 Å, b = 5.5269 Å, c = 5.5269 Å
α = 60.00°, β = 60.00°, γ = 60.00°
With the nearest neighbours (Å) after each atom.
Positions (direct):
Th (0.2500, 0.2500, 0.2500)  4 Pb 3.38, 4 Sn 3.38
Th (0.7500, 0.7500, 0.7500)  4 Sn 3.38, 4 Pb 3.38
Sn (0.0000, 0.0000, 0.0000)  8 Th 3.38
Pb (0.5000, 0.5000, 0.5000)  8 Th 3.38

Energy above the most stable polymorph in this dataset: 0.116 eV per atom
Magnetization: 0.01 μB/atom
DOS(E_F): 7.5 states/eV/f.u.
Energy of formation from the pure elements: -1.12 eV/f.u.
Space-group type: Fm-3m (225)

---

[3]
A relaxed structure of Tb3PrEr6Sc2. Source: Alexandria via LeMat-Bulk, functional PBE.

a = 6.0509 Å, b = 6.0509 Å, c = 11.6040 Å
α = 94.97°, β = 94.97°, γ = 119.96°
With the nearest neighbours (Å) after each atom.
Positions (direct):
Tb (0.0000, 0.0000, 0.0000)  6 Tb 3.49-3.50, 6 Er 3.52-3.53
Tb (0.3328, 0.6672, 0.0000)  6 Tb 3.49-3.50, 6 Er 3.52-3.54
Tb (0.6672, 0.3328, 0.0000)  6 Tb 3.49-3.50, 6 Er 3.52-3.54
Pr (0.5000, 0.5000, 0.5000)  6 Er 3.47-3.48, 6 Sc 3.49-3.50
Er (0.0810, 0.4171, 0.2534)  2 Sc 3.46, 1 Pr 3.48, 6 Er 3.48-3.53, 3 Tb 3.52-3.54
Er (0.2463, 0.2463, 0.7466)  2 Sc 3.46, 1 Pr 3.47, 6 Er 3.48-3.53, 3 Tb 3.52-3.54
Er (0.4171, 0.0810, 0.2534)  2 Sc 3.46, 1 Pr 3.48, 6 Er 3.48-3.53, 3 Tb 3.52-3.54
Er (0.5829, 0.9190, 0.7466)  2 Sc 3.46, 1 Pr 3.48, 6 Er 3.48-3.53, 3 Tb 3.52-3.54
Er (0.7537, 0.7537, 0.2534)  2 Sc 3.46, 1 Pr 3.47, 6 Er 3.48-3.53, 3 Tb 3.52-3.54
Er (0.9190, 0.5829, 0.7466)  2 Sc 3.46, 1 Pr 3.48, 6 Er 3.48-3.53, 3 Tb 3.52-3.54
Sc (0.1668, 0.8332, 0.5000)  6 Er 3.46, 3 Pr 3.49-3.50, 3 Sc 3.49
Sc (0.8332, 0.1668, 0.5000)  6 Er 3.46, 3 Pr 3.49-3.50, 3 Sc 3.49

Magnetization: 0.00 μB/atom
DOS(E_F): 16.4 states/eV/f.u.
Energy of formation from the pure elements: 0.45 eV/f.u.
Space-group type: C2/m (12)

---

[4]
A relaxed structure of Sc3SnBi. Source: Alexandria via LeMat-Bulk, functional PBE.

a = 5.3333 Å, b = 5.3333 Å, c = 5.3333 Å
α = 90.00°, β = 90.00°, γ = 90.00°
With the nearest neighbours (Å) after each atom.
Positions (direct):
Sc (0.0000, 0.0000, 0.5000)  2 Sn 2.67
Sc (0.0000, 0.5000, 0.0000)  2 Sn 2.67
Sc (0.5000, 0.0000, 0.0000)  2 Sn 2.67
Sn (0.0000, 0.0000, 0.0000)  6 Sc 2.67
Bi (0.5000, 0.5000, 0.5000)  12 Sc 3.77

Energy above the most stable polymorph in this dataset: 0.392 eV per atom
Magnetization: 0.00 μB/atom
DOS(E_F): 6.8 states/eV/f.u.
Energy of formation from the pure elements: 0.12 eV/f.u.
Space-group type: Pm-3m (221)

---

[5]
A relaxed structure of Li4Dy3HfTe8. Source: Alexandria via LeMat-Bulk, functional PBE.

a = 8.6089 Å, b = 8.6089 Å, c = 8.6089 Å
α = 59.27°, β = 59.27°, γ = 59.27°
With the nearest neighbours (Å) after each atom.
Positions (direct):
Li (0.0000, 0.0000, 0.0000)  6 Te 3.10
Li (0.0000, 0.5000, 0.5000)  6 Te 2.98-2.99
Li (0.5000, 0.0000, 0.5000)  6 Te 2.98-2.99
Li (0.5000, 0.5000, 0.0000)  6 Te 2.98-2.99
Dy (0.0000, 0.0000, 0.5000)  6 Te 3.07-3.08
Dy (0.0000, 0.5000, 0.0000)  6 Te 3.07-3.08
Dy (0.5000, 0.0000, 0.0000)  6 Te 3.07-3.08
Hf (0.5000, 0.5000, 0.5000)  6 Te 2.95
Te (0.2533, 0.2533, 0.2533)  3 Li 2.99, 3 Dy 3.07
Te (0.2562, 0.2562, 0.7358)  1 Hf 2.95, 3 Li 2.98-3.10, 2 Dy 3.08
Te (0.2562, 0.7358, 0.2562)  1 Hf 2.95, 3 Li 2.98-3.10, 2 Dy 3.08
Te (0.2642, 0.7438, 0.7438)  1 Hf 2.95, 3 Li 2.98-3.10, 2 Dy 3.08
Te (0.7358, 0.2562, 0.2562)  1 Hf 2.95, 3 Li 2.98-3.10, 2 Dy 3.08
Te (0.7438, 0.2642, 0.7438)  1 Hf 2.95, 3 Li 2.98-3.10, 2 Dy 3.08
Te (0.7438, 0.7438, 0.2642)  1 Hf 2.95, 3 Li 2.98-3.10, 2 Dy 3.08
Te (0.7467, 0.7467, 0.7467)  3 Li 2.99, 3 Dy 3.07

Magnetization: 0.00 μB/atom
DOS(E_F): 4.1 states/eV/f.u.
VASP energy: -4.69 eV per atom
Space-group type: R-3m (166)

---

[6]
A relaxed structure of Si2TeIr. Source: Alexandria via LeMat-Bulk, functional PBE.

a = 3.8384 Å, b = 3.8384 Å, c = 7.5128 Å
α = 111.50°, β = 111.50°, γ = 52.23°
With the nearest neighbours (Å) after each atom.
Positions (direct):
Si (0.1146, 0.1146, 0.3268)  3 Ir 2.44-2.45
Si (0.8854, 0.8854, 0.6732)  3 Ir 2.44-2.45
Te (0.5000, 0.5000, 0.0000)  4 Si 2.81
Ir (0.5000, 0.5000, 0.5000)  6 Si 2.44-2.45

Magnetization: 0.00 μB/atom
DOS(E_F): 1.9 states/eV/f.u.
VASP energy: -5.68 eV per atom
Space-group type: C2/m (12)

---

[7]
A relaxed structure of CaSi2Tc. Source: Alexandria via LeMat-Bulk, functional PBE.

a = 4.3643 Å, b = 4.3643 Å, c = 6.5673 Å
α = 117.50°, β = 117.50°, γ = 45.07°
With the nearest neighbours (Å) after each atom.
Positions (direct):
Ca (0.0000, 0.0000, 0.0000)  6 Si 3.00-3.18, 3 Tc 3.04-3.21, 2 Ca 3.35
Si (0.5720, 0.5720, 0.6724)  3 Tc 2.47-2.51, 2 Si 2.50
Si (0.8603, 0.8603, 0.3718)  2 Si 2.50, 3 Tc 2.54
Tc (0.2196, 0.2196, 0.5352)  6 Si 2.47-2.54

Energy above the most stable polymorph in this dataset: 0.151 eV per atom
Magnetization: 0.00 μB/atom
DOS(E_F): 2.5 states/eV/f.u.
Space-group type: Cm (8)

---

[8]
A relaxed structure of PrDyGaPt. Source: Alexandria via LeMat-Bulk, functional PBE.

a = 4.3585 Å, b = 6.0250 Å, c = 6.0250 Å
α = 37.98°, β = 90.00°, γ = 90.00°
With the nearest neighbours (Å) after each atom.
Positions (direct):
Pr (0.0000, 0.0000, 0.0000)  4 Ga 3.07, 3 Pt 3.09-3.26
Dy (0.5000, 0.7147, 0.7147)  4 Pt 3.00, 3 Ga 3.05-3.36
Ga (0.5000, 0.4201, 0.4201)  2 Pt 2.76, 2 Dy 3.05, 4 Pr 3.07
Pt (0.0000, 0.2711, 0.2711)  2 Ga 2.76, 4 Dy 3.00, 1 Pr 3.09

Energy above the most stable polymorph in this dataset: 0.000 eV per atom
Magnetization: 0.00 μB/atom
DOS(E_F): 3.7 states/eV/f.u.
Energy of formation from the pure elements: -3.50 eV/f.u.
Space-group type: Amm2 (38)

---

[9]
A relaxed structure of YTlIn2I6. Source: Alexandria via LeMat-Bulk, functional PBE.

a = 8.5561 Å, b = 8.5712 Å, c = 8.9693 Å
α = 61.55°, β = 61.52°, γ = 60.08°
With the nearest neighbours (Å) after each atom.
Positions (direct):
Y (0.0000, 0.0000, 0.0000)  6 I 3.03-3.08
Tl (0.5082, 0.5078, 0.4766)  6 I 3.47-3.62
In (0.3148, 0.3153, 0.0558)  6 I 3.48-3.51
In (0.8047, 0.8057, 0.5846)  6 I 3.47-3.56
I (0.1086, 0.7613, 0.7788)  1 Y 3.03
I (0.2028, 0.6384, 0.2530)  1 Y 3.07
I (0.3521, 0.1087, 0.7792)  1 Y 3.04
I (0.6369, 0.9068, 0.2526)  1 Y 3.08
I (0.7618, 0.3514, 0.7787)  1 Y 3.03
I (0.9063, 0.2026, 0.2534)  1 Y 3.08

Magnetization: 0.00 μB/atom
DOS(E_F): 0.0 states/eV/f.u.
VASP energy: -3.23 eV per atom
Space-group type: P1 (1)

---

[10]
A relaxed structure of Na2LaS. Source: Alexandria via LeMat-Bulk, functional PBE.

a = 7.3579 Å, b = 7.3579 Å, c = 7.3579 Å
α = 98.33°, β = 98.33°, γ = 135.25°
With the nearest neighbours (Å) after each atom.
Positions (direct):
Na (0.0356, 0.6250, 0.9106)  2 S 2.94, 2 Na 3.29
Na (0.3750, 0.2856, 0.4106)  2 S 2.94, 2 Na 3.29
Na (0.7144, 0.1250, 0.0894)  2 S 2.94, 2 Na 3.29
Na (0.8750, 0.9644, 0.5894)  2 S 2.94, 2 Na 3.29
La (0.2500, 0.7500, 0.5000)  2 S 2.80
La (0.5000, 0.5000, 0.0000)  2 S 2.80
S (0.0000, 0.0000, 0.0000)  2 La 2.80, 4 Na 2.94
S (0.7500, 0.2500, 0.5000)  2 La 2.80, 4 Na 2.94

Magnetization: 0.00 μB/atom
DOS(E_F): 2.4 states/eV/f.u.
VASP energy: -3.46 eV per atom
Space-group type: I-42d (122)

---

[11]
A relaxed structure of Y5Ho3P8. Source: Alexandria via LeMat-Bulk, functional PBE.

a = 8.0061 Å, b = 8.0061 Å, c = 8.0061 Å
α = 60.00°, β = 60.00°, γ = 60.00°
With the nearest neighbours (Å) after each atom.
Positions (direct):
Y (0.0000, 0.0000, 0.0000)  6 P 2.83
Y (0.0000, 0.5000, 0.5000)  6 P 2.84
Y (0.5000, 0.0000, 0.5000)  6 P 2.84
Y (0.5000, 0.5000, 0.0000)  6 P 2.84
Y (0.5000, 0.5000, 0.5000)  6 P 2.83
Ho (0.0000, 0.0000, 0.5000)  6 P 2.82
Ho (0.0000, 0.5000, 0.0000)  6 P 2.82
Ho (0.5000, 0.0000, 0.0000)  6 P 2.82
P (0.2494, 0.2494, 0.2494)  3 Ho 2.82, 3 Y 2.84
P (0.2487, 0.7500, 0.7500)  2 Ho 2.82, 4 Y 2.83-2.84
P (0.2500, 0.2500, 0.7513)  2 Ho 2.82, 4 Y 2.83-2.84
P (0.2500, 0.7513, 0.2500)  2 Ho 2.82, 4 Y 2.83-2.84
P (0.7500, 0.2487, 0.7500)  2 Ho 2.82, 4 Y 2.83-2.84
P (0.7500, 0.7500, 0.2487)  2 Ho 2.82, 4 Y 2.83-2.84
P (0.7513, 0.2500, 0.2500)  2 Ho 2.82, 4 Y 2.83-2.84
P (0.7506, 0.7506, 0.7506)  3 Ho 2.82, 3 Y 2.84

Magnetization: 0.00 μB/atom
DOS(E_F): 2.6 states/eV/f.u.
Energy of formation from the pure elements: -25.97 eV/f.u.
Space-group type: R-3m (166)

---

[12]
A relaxed structure of UAl3Ga4. Source: Alexandria via LeMat-Bulk, functional PBE.

a = 9.0278 Å, b = 9.0278 Å, c = 4.2451 Å
α = 93.16°, β = 93.16°, γ = 26.29°
With the nearest neighbours (Å) after each atom.
Positions (direct):
U (0.0000, 0.0000, 0.0000)  4 Ga 2.94-3.05, 8 Al 2.95-3.02
Al (0.3741, 0.3741, 0.9631)  3 Ga 2.63-2.92
Al (0.5000, 0.5000, 0.5000)  4 Ga 2.95, 4 U 2.95, 4 Al 3.04-3.09
Al (0.6259, 0.6259, 0.0369)  3 Ga 2.63-2.92
Ga (0.1202, 0.1202, 0.5460)  1 Ga 2.59
Ga (0.2454, 0.2454, 0.2505)  1 Ga 2.59, 1 Al 2.63
Ga (0.7546, 0.7546, 0.7495)  1 Ga 2.59, 1 Al 2.63
Ga (0.8798, 0.8798, 0.4540)  1 Ga 2.59

Magnetization: 0.30 μB/atom
DOS(E_F): 6.0 states/eV/f.u.
Energy of formation from the pure elements: -0.07 eV/f.u.
Space-group type: C2/m (12)